# LiYLuNi

An optimized crystal structure of LiYLuNi (GGA-PBE, Alexandria via LeMat-Bulk).

Computed properties:
Electronic total energy, eV per atom: -4.837
Energy of formation, eV/atom: -0.1667
Calculated density, g/cm3: 6.665

```
data_LiYLuNi
_chemical_formula_sum 'Li4 Y4 Lu4 Ni4'
_cell_length_a 6.899
_cell_length_b 6.899
_cell_length_c 6.899
_cell_angle_alpha 90.00
_cell_angle_beta 90.00
_cell_angle_gamma 90.00
_space_group_name_H-M_alt 'F -4 3 m'
_space_group_IT_number 216
_space_group_name_Hall 'F -4 2 3'
loop_
_atom_site_label
_atom_site_fract_x
_atom_site_fract_y
_atom_site_fract_z
Li1 0.000 0.000 0.000
Y1 0.250 0.250 0.250
Lu1 0.250 0.250 0.750
Ni1 0.000 0.000 0.500
```


# Pr3Nd2Dy7

An optimized crystal structure of Pr3Nd2Dy7 (GGA-PBE, Alexandria via LeMat-Bulk).

Computed properties:
Electronic total energy, eV per atom: -4.591
Energy of formation, eV/atom: 0.0832
Calculated density, g/cm3: 7.609

```
data_Pr3Nd2Dy7
_chemical_formula_sum 'Pr3 Nd2 Dy7'
_cell_length_a 5.886
_cell_length_b 3.611
_cell_length_c 19.011
_cell_angle_alpha 90.00
_cell_angle_beta 93.17
_cell_angle_gamma 90.00
_space_group_name_H-M_alt 'P 1 2/m 1'
_space_group_IT_number 10
_space_group_name_Hall '-P 2y'
loop_
_atom_site_label
_atom_site_fract_x
_atom_site_fract_y
_atom_site_fract_z
Pr1 0.000 0.000 0.000
Pr2 0.275 0.500 0.632
Nd1 0.213 0.000 0.292
Dy1 0.191 0.500 0.142
Dy2 0.243 0.000 0.462
Dy3 0.307 0.000 0.828
Dy4 0.500 0.500 0.000
```


# Er4CdRh

An optimized crystal structure of Er4CdRh (GGA-PBE, Alexandria via LeMat-Bulk).

Computed properties:
Electronic total energy, eV per atom: -4.670
Energy relative to the lowest polymorph listed for this composition, meV/atom: 259.8
Energy of formation, eV/atom: -0.2503
Calculated density, g/cm3: 8.597

```
data_Er4CdRh
_chemical_formula_sum 'Er8 Cd2 Rh2'
_cell_length_a 6.848
_cell_length_b 6.848
_cell_length_c 7.285
_cell_angle_alpha 90.00
_cell_angle_beta 90.10
_cell_angle_gamma 90.00
_space_group_name_H-M_alt 'C 1 2/m 1'
_space_group_IT_number 12
_space_group_name_Hall '-C 2y'
loop_
_atom_site_label
_atom_site_fract_x
_atom_site_fract_y
_atom_site_fract_z
Er1 0.250 0.250 0.224
Cd1 0.000 0.000 0.500
Rh1 0.000 0.500 0.000
```


# LiYBr2

An optimized crystal structure of LiYBr2 (GGA-PBE, Alexandria via LeMat-Bulk).

Computed properties:
Electronic total energy, eV per atom: -3.947
Energy relative to the lowest polymorph listed for this composition, meV/atom: 201.6
Energy relative to the elements, uncorrected, eV/atom: -1.017
Calculated density, g/cm3: 4.626

```
data_LiYBr2
_chemical_formula_sum 'Li1 Y1 Br2'
_cell_length_a 3.632
_cell_length_b 3.632
_cell_length_c 6.958
_cell_angle_alpha 90.00
_cell_angle_beta 90.00
_cell_angle_gamma 90.00
_space_group_name_H-M_alt 'P 4/m m m'
_space_group_IT_number 123
_space_group_name_Hall '-P 4 2'
loop_
_atom_site_label
_atom_site_fract_x
_atom_site_fract_y
_atom_site_fract_z
Li1 0.000 0.000 0.000
Y1 0.000 0.000 0.500
Br1 0.500 0.500 0.261
```